No. 1
DFT (PBE+U) results for crystalline Fe2PClF at its relaxed geometry.

Output
* calculated total energy: -18.3 eV for the cell shown

```
data_Fe2PClF
_cell_length_a 4.161
_cell_length_b 4.161
_cell_length_c 5.544
_cell_angle_alpha 90.00
_cell_angle_beta 90.00
_cell_angle_gamma 90.00
_symmetry_space_group_name_H-M 'P 4/m m m'
_symmetry_Int_Tables_number 123
_symmetry_space_group_name_Hall '-P 4 2'
loop_
_atom_site_label
_atom_site_fract_x
_atom_site_fract_y
_atom_site_fract_z
_atom_site_occupancy
Fe1 0.000 0.500 0.000 1
P1 0.000 0.000 0.500 1
Cl1 0.500 0.500 0.500 1
F1 0.000 0.000 0.000 1
```


No. 2
DFT (PBE+U) results for crystalline FePb3Cl2F6 at its relaxed geometry.

Output
* calculated total energy: -110.8 eV for the cell shown

```
data_FePb3Cl2F6
_cell_length_a 13.036
_cell_length_b 7.218
_cell_length_c 5.532
_cell_angle_alpha 90.00
_cell_angle_beta 97.91
_cell_angle_gamma 90.00
_symmetry_space_group_name_H-M 'C 1 2/m 1'
_symmetry_Int_Tables_number 12
loop_
_symmetry_equiv_pos_as_xyz
'x,y,z'
'-x,-y,-z'
'-x,y,-z'
'x,-y,z'
'x+1/2,y+1/2,z'
'-x+1/2,-y+1/2,-z'
'-x+1/2,y+1/2,-z'
'x+1/2,-y+1/2,z'
loop_
_atom_site_label
_atom_site_fract_x
_atom_site_fract_y
_atom_site_fract_z
_atom_site_occupancy
Fe1 0.000 0.000 0.000 1
Pb1 0.000 0.500 0.500 1
Pb2 0.250 0.250 0.000 1
Cl1 0.206 0.500 0.376 1
F1 0.065 0.244 0.803 1
F2 0.148 0.000 0.161 1
```


No. 3
DFT (PBE+U) results for crystalline Rb3Fe2Cl2F5 at its relaxed geometry.

Output
* calculated total energy: -106.1 eV for the cell shown

```
data_Rb3Fe2Cl2F5
_cell_length_a 4.374
_cell_length_b 4.374
_cell_length_c 24.391
_cell_angle_alpha 90.00
_cell_angle_beta 90.00
_cell_angle_gamma 90.00
_symmetry_space_group_name_H-M 'I 4/m m m'
_symmetry_Int_Tables_number 139
_symmetry_space_group_name_Hall '-I 4 2'
loop_
_atom_site_label
_atom_site_fract_x
_atom_site_fract_y
_atom_site_fract_z
_atom_site_occupancy
Rb1 0.000 0.000 0.000 1
Rb2 0.000 0.000 0.170 1
Fe1 0.000 0.000 0.415 1
Cl1 0.000 0.000 0.313 1
F1 0.000 0.000 0.500 1
F2 0.000 0.500 0.084 1
```


No. 4
DFT (PBE+U) results for crystalline Rb2FeCl2F2 at its relaxed geometry.

Output
* calculated total energy: -60.1 eV for the cell shown

```
data_Rb2FeCl2F2
_cell_length_a 13.154
_cell_length_b 4.011
_cell_length_c 7.402
_cell_angle_alpha 90.00
_cell_angle_beta 120.24
_cell_angle_gamma 90.00
_symmetry_space_group_name_H-M 'C 1 2/m 1'
_symmetry_Int_Tables_number 12
loop_
_symmetry_equiv_pos_as_xyz
'x,y,z'
'-x,-y,-z'
'-x,y,-z'
'x,-y,z'
'x+1/2,y+1/2,z'
'-x+1/2,-y+1/2,-z'
'-x+1/2,y+1/2,-z'
'x+1/2,-y+1/2,z'
loop_
_atom_site_label
_atom_site_fract_x
_atom_site_fract_y
_atom_site_fract_z
_atom_site_occupancy
Rb1 0.180 0.000 0.208 1
Fe1 0.000 0.000 0.500 1
Cl1 0.044 0.500 0.772 1
F1 0.165 0.000 0.573 1
```


No. 5
DFT (PBE+U) results for crystalline Rb2FeCl6F at its relaxed geometry.

Output
* calculated total energy: -63.5 eV for the cell shown

```
data_Rb2FeCl6F
_cell_length_a 7.673
_cell_length_b 7.673
_cell_length_c 9.282
_cell_angle_alpha 90.00
_cell_angle_beta 90.00
_cell_angle_gamma 90.00
_symmetry_space_group_name_H-M 'I 4/m m m'
_symmetry_Int_Tables_number 139
_symmetry_space_group_name_Hall '-I 4 2'
loop_
_atom_site_label
_atom_site_fract_x
_atom_site_fract_y
_atom_site_fract_z
_atom_site_occupancy
Rb1 0.000 0.500 0.250 1
Fe1 0.000 0.000 0.000 1
Cl1 0.000 0.000 0.274 1
Cl2 0.214 0.214 0.000 1
F1 0.000 0.000 0.500 1
```


No. 6
DFT (PBE+U) results for crystalline Rb3Fe2Cl4F3 at its relaxed geometry.

Output
* calculated total energy: -102.5 eV for the cell shown

```
data_Rb3Fe2Cl4F3
_cell_length_a 26.464
_cell_length_b 4.178
_cell_length_c 5.127
_cell_angle_alpha 90.00
_cell_angle_beta 101.16
_cell_angle_gamma 90.00
_symmetry_space_group_name_H-M 'C 1 2/m 1'
_symmetry_Int_Tables_number 12
loop_
_symmetry_equiv_pos_as_xyz
'x,y,z'
'-x,-y,-z'
'-x,y,-z'
'x,-y,z'
'x+1/2,y+1/2,z'
'-x+1/2,-y+1/2,-z'
'-x+1/2,y+1/2,-z'
'x+1/2,-y+1/2,z'
loop_
_atom_site_label
_atom_site_fract_x
_atom_site_fract_y
_atom_site_fract_z
_atom_site_occupancy
Rb1 0.000 0.000 0.000 1
Rb2 0.186 0.000 0.185 1
Fe1 0.083 0.500 0.582 1
Cl1 0.091 0.500 0.090 1
Cl2 0.184 0.500 0.685 1
F1 0.000 0.500 0.500 1
F2 0.081 0.000 0.581 1
```